[1]
K3In3GeI8: optimized geometry, PBE.

The value obtained for the total DFT energy (no corrections) is -122.8 eV per cell. The calculation puts the calculated density at 3664 kg/m3. The density of states at the Fermi level is 0.0 states/eV/cell.

The structure belongs to space group R-3m (No. 166, hexagonal axes); the cell edges are 9.9225, 9.9225 and 24.7067 Å and the angles 90.00°, 90.00° and 120.00°. The distinct sites, in fractional coordinates, are K at (0.0000, 0.5000, 0.0000), In at (0.0000, 0.5000, 0.5000), Ge at (0.0000, 0.0000, 0.5000), I at (0.0000, 0.0000, 0.2495) and I at (0.0416, 0.5208, 0.2389).

---

[2]
KIn2GeI5: optimized geometry, PBE.

The value obtained for the total DFT energy (no corrections) is -97.3 eV per cell. The calculation puts the calculated density at 3928 kg/m3. The density of states at the Fermi level is 0.0 states/eV/cell.

The structure belongs to space group Cmc2_1 (No. 36); the cell edges are 4.573, 19.887 and 18.146 Å and the angles 90.00°, 90.00° and 90.00°. The distinct sites, in fractional coordinates, are K at (0.000, 0.057, 0.000), In at (0.000, 0.355, 0.814), In at (0.000, 0.436, 0.212), Ge at (0.000, 0.252, 0.602), I at (0.000, 0.022, 0.332), I at (0.000, 0.105, 0.581), I at (0.000, 0.234, 0.991), I at (0.000, 0.258, 0.220) and I at (0.000, 0.406, 0.635).

---

[3]
La4InGeI2: optimized geometry, PBE.

The value obtained for the total DFT energy (no corrections) is -37.3 eV per cell. The calculation puts the calculated density at 5971 kg/m3. The density of states at the Fermi level is 4.1 states/eV/cell.

The structure belongs to space group P2/m (No. 10); the cell edges are 8.032, 4.529 and 8.051 Å and the angles 90.00°, 108.82° and 90.00°. The distinct sites, in fractional coordinates, are La at (0.212, 0.000, 0.227), La at (0.224, 0.500, 0.754), In at (0.000, 0.000, 0.500), Ge at (0.000, 0.500, 0.000), I at (0.500, 0.000, 0.000) and I at (0.500, 0.500, 0.500).

---

[4]
LiIn2GeI5: optimized geometry, PBE.

The value obtained for the total DFT energy (no corrections) is -99.4 eV per cell. The calculation puts the calculated density at 4582 kg/m3. The density of states at the Fermi level is 0.0 states/eV/cell.

The structure belongs to space group Cmc2_1 (No. 36); the cell edges are 4.493, 20.173 and 15.096 Å and the angles 90.00°, 90.00° and 90.00°. The distinct sites, in fractional coordinates, are Li at (0.000, 0.063, 0.000), In at (0.000, 0.371, 0.862), In at (0.000, 0.409, 0.218), Ge at (0.000, 0.285, 0.583), I at (0.000, 0.002, 0.341), I at (0.000, 0.142, 0.551), I at (0.000, 0.197, 0.948), I at (0.000, 0.224, 0.221) and I at (0.000, 0.443, 0.605).

---

[5]
Na3In3GeI8: optimized geometry, PBE.

The value obtained for the total DFT energy (no corrections) is -120.8 eV per cell. The calculation puts the calculated density at 4064 kg/m3. The density of states at the Fermi level is 0.0 states/eV/cell.

The structure belongs to space group R-3m (No. 166, hexagonal axes); the cell edges are 9.3625, 9.3625 and 24.2423 Å and the angles 90.00°, 90.00° and 120.00°. The distinct sites, in fractional coordinates, are Na at (0.0000, 0.5000, 0.0000), In at (0.0000, 0.5000, 0.5000), Ge at (0.0000, 0.0000, 0.0000), I at (0.0000, 0.0000, 0.2584) and I at (0.0194, 0.5097, 0.7375).

---

[6]
InGeIO2: optimized geometry, PBE.

Its polymorph energy (0 for the lowest one) is 0 meV/atom. The value obtained for the total DFT energy (no corrections) is -20.1 eV per cell. The calculation puts the calculated density at 5890 kg/m3. The density of states at the Fermi level is 2.3 states/eV/cell.

The structure belongs to space group P4/mmm (No. 123); the cell edges are 4.104, 4.104 and 5.797 Å and the angles 90.00°, 90.00° and 90.00°. The distinct sites, in fractional coordinates, are In at (0.000, 0.000, 0.000), Ge at (0.500, 0.500, 0.500), I at (0.500, 0.500, 0.000) and O at (0.000, 0.500, 0.500).

---

[7]
InGeIO2: optimized geometry, PBE.

Its polymorph energy (0 for the lowest one) is 137 meV/atom. The value obtained for the total DFT energy (no corrections) is -19.4 eV per cell. The calculation puts the calculated density at 5379 kg/m3. The density of states at the Fermi level is 2.7 states/eV/cell.

The structure belongs to space group P4/mmm (No. 123); the cell edges are 4.222, 4.222 and 5.998 Å and the angles 90.00°, 90.00° and 90.00°. The distinct sites, in fractional coordinates, are In at (0.000, 0.000, 0.000), Ge at (0.500, 0.500, 0.500), I at (0.000, 0.000, 0.500) and O at (0.000, 0.500, 0.000).

---

[8]
Pr8InGe3I4: optimized geometry, PBE.

The value obtained for the total DFT energy (no corrections) is -227.6 eV per cell. The calculation puts the calculated density at 6195 kg/m3. The density of states at the Fermi level is 22.1 states/eV/cell.

The structure belongs to space group R-3m (No. 166, hexagonal axes); the cell edges are 8.9048, 8.9048 and 23.0388 Å and the angles 90.00°, 90.00° and 120.00°. The distinct sites, in fractional coordinates, are Pr at (0.0000, 0.0000, 0.2333), Pr at (0.0105, 0.5053, 0.7639), In at (0.0000, 0.0000, 0.5000), Ge at (0.0000, 0.5000, 0.5000), I at (0.0000, 0.0000, 0.0000) and I at (0.0000, 0.5000, 0.0000).

---

[9]
Pr6InGe2I3: optimized geometry, PBE.

The value obtained for the total DFT energy (no corrections) is -112.2 eV per cell. The calculation puts the calculated density at 6195 kg/m3. The density of states at the Fermi level is 12.7 states/eV/cell.

The structure belongs to space group C2/m (No. 12); the cell edges are 20.089, 4.389 and 9.385 Å and the angles 90.00°, 105.65° and 90.00°. The distinct sites, in fractional coordinates, are Pr at (0.014, 0.000, 0.246), Pr at (0.163, 0.500, 0.123), Pr at (0.178, 0.500, 0.560), In at (0.000, 0.500, 0.000), Ge at (0.168, 0.000, 0.339), I at (0.000, 0.500, 0.500) and I at (0.166, 0.000, 0.835).

---

[10]
In2GePtI: optimized geometry, PBE.

The value obtained for the total DFT energy (no corrections) is -19.0 eV per cell. The calculation puts the calculated density at 7285 kg/m3. The density of states at the Fermi level is 2.1 states/eV/cell.

The structure belongs to space group P4/mmm (No. 123); the cell edges are 5.438, 5.438 and 4.812 Å and the angles 90.00°, 90.00° and 90.00°. The distinct sites, in fractional coordinates, are In at (0.000, 0.500, 0.000), Ge at (0.000, 0.000, 0.500), Pt at (0.000, 0.000, 0.000) and I at (0.500, 0.500, 0.500).

---

[11]
Rb2InGeI5: optimized geometry, PBE.

The value obtained for the total DFT energy (no corrections) is -98.1 eV per cell. The calculation puts the calculated density at 3913 kg/m3.

The structure belongs to space group Cmc2_1 (No. 36); the cell edges are 4.685, 20.995 and 17.133 Å and the angles 90.00°, 90.00° and 90.00°. The distinct sites, in fractional coordinates, are Rb at (0.000, 0.079, 0.000), Rb at (0.000, 0.138, 0.656), In at (0.000, 0.454, 0.809), Ge at (0.000, 0.231, 0.391), I at (0.000, 0.093, 0.437), I at (0.000, 0.252, 0.011), I at (0.000, 0.293, 0.776), I at (0.000, 0.371, 0.342) and I at (0.000, 0.497, 0.124).

---

[12]
Rb3In3GeI8: optimized geometry, PBE.

The value obtained for the total DFT energy (no corrections) is -81.2 eV per cell. The calculation puts the calculated density at 3777 kg/m3. The density of states at the Fermi level is 0.0 states/eV/cell.

The structure belongs to space group C2/m (No. 12); the cell edges are 17.357, 10.017 and 10.319 Å and the angles 90.00°, 124.15° and 90.00°. The distinct sites, in fractional coordinates, are Rb at (0.000, 0.000, 0.000), Rb at (0.250, 0.250, 0.000), In at (0.000, 0.500, 0.500), In at (0.250, 0.250, 0.500), Ge at (0.000, 0.000, 0.500), I at (0.004, 0.218, 0.294), I at (0.215, 0.000, 0.707) and I at (0.245, 0.500, 0.736).